Entry 1:
VASP calculation (GGA-PBE) on Cs3MgGe2I9 after structural relaxation.

Cell lengths 8.4512, 8.4512, 10.3470 Å; angles 90.00, 90.00, 120.00 degrees
Space group P-3m1 (No. 164)
Unique sites:
Cs  0.0000  0.0000  0.0000
Cs  0.3333  0.6667  0.6635
Mg  0.0000  0.0000  0.5000
Ge  0.3333  0.6667  0.1662
I  0.0000  0.5000  0.0000
I  0.1649  0.3298  0.3350

Output
The value obtained for the raw formation energy is -0.940 eV/atom.



Entry 2:
VASP calculation (GGA-PBE) on Cs4Nd3YS8 after structural relaxation.

Cell lengths 8.4365, 8.4365, 24.2882 Å; angles 90.00, 90.00, 120.00 degrees
Space group R-3m (No. 166, hexagonal axes)
Unique sites:
Cs  0.0000  0.0000  0.0000
Cs  0.0000  0.5000  0.0000
Nd  0.0000  0.5000  0.5000
Y  0.0000  0.0000  0.5000
S  0.0000  0.0000  0.2291
S  0.0070  0.5035  0.2282

Output
The value obtained for the raw formation energy is -1.814 eV/atom. The value obtained for the density of states at the Fermi level is 0.00 states/eV per cell.



Entry 3:
VASP calculation (GGA-PBE) on LaPrTmAl after structural relaxation.

Cell lengths 7.7715, 7.7715, 7.7715 Å; angles 90.00, 90.00, 90.00 degrees
Space group F-43m (No. 216)
Unique sites:
La  0.0000  0.0000  0.0000
Pr  0.0000  0.0000  0.5000
Tm  0.2500  0.2500  0.2500
Al  0.2500  0.2500  0.7500

Output
The formation enthalpy at 0 K is -0.08 eV per atom. The value obtained for the density of states at the Fermi level is 26.69 states/eV per cell.



What is the formula in the first record?
Cs3MgGe2I9